No. 1
## BaCu12Ge7 (PBE-GGA)

Data for BaCu12Ge7 after structural relaxation.

abc: 12.9279 12.9279 6.5069
angles: 90.00 90.00 120.00
Space group R-3m (No. 166, hexagonal axes)
Symmetry-distinct sites (fractional):
1 Ba 0.0000 0.0000 0.0000
2 Cu 0.0000 0.2678 0.0000
3 Cu 0.1043 0.5521 0.9561
4 Ge 0.0000 0.0000 0.5000
5 Ge 0.0964 0.5482 0.3513

Summary:
M_tot in μB/f.u.: 0.0
Energy of formation from the pure elements in eV/atom: 0.08


No. 2
## Tl2Zn2Br7 (PBE-GGA)

Data for Tl2Zn2Br7 after structural relaxation.

abc: 10.1490 12.6145 6.6451
angles: 90.00 100.66 90.00
Space group C2/m (No. 12)
Symmetry-distinct sites (fractional):
1 Tl 0.0000 0.2003 0.0000
2 Zn 0.2284 0.5000 0.4141
3 Br 0.0000 0.5000 0.5000
4 Br 0.1115 0.0000 0.2651
5 Br 0.2473 0.3375 0.2262

Summary:
M_tot in μB/f.u.: 0.0
E_form (uncorrected) in eV/atom: -0.7343


No. 3
## Al2ZnP (PBE-GGA)

Data for Al2ZnP after structural relaxation.

abc: 2.9293 2.9293 25.1462
angles: 90.00 90.00 120.00
Space group R-3m (No. 166, hexagonal axes)
Symmetry-distinct sites (fractional):
1 Al 0.0000 0.0000 0.2476
2 Zn 0.0000 0.0000 0.0000
3 P 0.0000 0.0000 0.5000

Summary:
M_tot in μB/f.u.: 0.0
Energy of formation from the pure elements in eV/atom: 0.13
Energy relative to the lowest polymorph listed for this composition in eV per atom: 0.111